Computed, not measured: RbHg3F9 after structural relaxation at the GGA-PBE level of DFT.

## Properties
* total DFT energy (no corrections): -2.9011 eV/atom
* ΔE_f (raw): -19.00 eV per formula unit
* total moment: 0.00 μB per cell

Lattice parameters (Å, degrees): 8.3141 8.3141 4.3739 90.00 90.00 120.00
Space group P6/mmm (No. 191)
Inequivalent atoms, fractional coordinates:
Rb1 0.0000 0.0000 0.0000 x1
Hg1 0.0000 0.5000 0.5000 x3
F1 0.0000 0.5000 0.0000 x3
F2 0.1933 0.3866 0.5000 x6

Computed, not measured: Tl3TeF6 after structural relaxation at the GGA-PBE level of DFT.

## Properties
* total DFT energy (no corrections): -3.8810 eV/atom
* ΔE_f (raw): -17.34 eV per formula unit
* total moment: 0.00 μB per cell

Lattice parameters (Å, degrees): 7.8879 9.6739 12.4047 90.00 90.00 90.00
Space group Fmmm (No. 69)
Inequivalent atoms, fractional coordinates:
Tl1 0.0000 0.0000 0.0000 x4
Tl2 0.2500 0.2500 0.2500 x8
Te1 0.0000 0.0000 0.5000 x4
F1 0.0000 0.2156 0.5000 x8
F2 0.1925 0.0000 0.3812 x16

Computed, not measured: Li2HoGe4 after structural relaxation at the GGA-PBE level of DFT.

## Properties
* total DFT energy (no corrections): -4.2215 eV/atom
* total moment: 0.00 μB per cell
* energy of formation from the pure elements: -0.382 eV/atom

Lattice parameters (Å, degrees): 6.7496 6.7496 5.6543 90.00 90.00 90.00
Space group I4/mmm (No. 139)
Inequivalent atoms, fractional coordinates:
Li1 0.0000 0.5000 0.2500 x4
Ho1 0.0000 0.0000 0.0000 x2
Ge1 0.1945 0.1945 0.5000 x8

Computed, not measured: Cd2SnRh after structural relaxation at the GGA-PBE level of DFT.

## Properties
* total DFT energy (no corrections): -3.2153 eV/atom
* total moment: 0.00 μB per cell
* energy of formation from the pure elements: 0.081 eV/atom

Lattice parameters (Å, degrees): 8.6070 8.6070 5.1894 90.00 90.00 90.00
Space group I-42d (No. 122)
Inequivalent atoms, fractional coordinates:
Cd1 0.1740 0.2500 0.1250 x8
Sn1 0.0000 0.0000 0.5000 x4
Rh1 0.0000 0.0000 0.0000 x4

Computed, not measured: Pr7SmSc2 after structural relaxation at the GGA-PBE level of DFT.

## Properties
* total DFT energy (no corrections): -4.5008 eV/atom
* total moment: 0.00 μB per cell
* energy of formation from the pure elements: 0.583 eV/atom

Lattice parameters (Å, degrees): 9.0820 15.6262 5.6624 90.00 90.00 90.00
Space group Cmmm (No. 65)
Inequivalent atoms, fractional coordinates:
Pr1 0.0000 0.0000 0.0000 x2
Pr2 0.0000 0.2491 0.5000 x4
Pr3 0.1831 0.3781 0.0000 x8
Sm1 0.0000 0.5000 0.5000 x2
Sc1 0.0000 0.2018 0.0000 x4

Computed, not measured: Cs2ReCl4F2 after structural relaxation at the GGA-PBE level of DFT.

## Properties
* total DFT energy (no corrections): -4.5092 eV/atom
* ΔE_f (raw): -15.30 eV per formula unit
* total moment: 6.00 μB per cell

Lattice parameters (Å, degrees): 12.0524 7.2735 6.1024 90.00 102.60 90.00
Space group C2/m (No. 12)
Inequivalent atoms, fractional coordinates:
Cs1 0.1750 0.0000 0.3199 x4
Re1 0.0000 0.5000 0.0000 x2
Cl1 0.0852 0.2672 0.8166 x8
F1 0.1367 0.5000 0.2509 x4

Computed, not measured: SmVOs2 after structural relaxation at the GGA-PBE level of DFT.

## Properties
* total DFT energy (no corrections): -9.0922 eV/atom
* total moment: 0.00 μB per cell
* energy of formation from the pure elements: -0.018 eV/atom

Lattice parameters (Å, degrees): 3.0932 3.0932 7.1887 90.00 90.00 90.00
Space group P4/mmm (No. 123)
Inequivalent atoms, fractional coordinates:
Sm1 0.0000 0.0000 0.0000 x1
V1 0.0000 0.0000 0.5000 x1
Os1 0.5000 0.5000 0.3016 x2

Computed, not measured: MnMo2 after structural relaxation at the GGA-PBE level of DFT.

## Properties
* total DFT energy (no corrections): -9.4888 eV/atom
* total moment: 0.00 μB per cell
* energy of formation from the pure elements: 0.788 eV/atom

Lattice parameters (Å, degrees): 5.7473 5.7473 5.7473 90.00 90.00 90.00
Space group Pa-3 (No. 205)
Inequivalent atoms, fractional coordinates:
Mn1 0.0000 0.0000 0.0000 x4
Mo1 0.1345 0.6345 0.8655 x8